Computed, not measured: a relaxed structure of Sc2AlNi at the GGA-PBEsol level of DFT.

```
data_Sc2AlNi
_chemical_formula_sum 'Sc8 Al4 Ni4'
_space_group_name_H-M_alt 'C m c m'
_space_group_IT_number 63
_space_group_name_Hall '-C 2c 2'
_cell_length_a 3.038
_cell_length_b 11.202
_cell_length_c 8.200
_cell_angle_alpha 90.00
_cell_angle_beta 90.00
_cell_angle_gamma 90.00
loop_
_atom_site_label
_atom_site_type_symbol
_atom_site_fract_x
_atom_site_fract_y
_atom_site_fract_z
_atom_site_occupancy
Sc1 Sc 0.000 0.132 0.061 1
Al1 Al 0.000 0.438 0.250 1
Ni1 Ni 0.000 0.240 0.750 1
```

Output
The value obtained for the total energy is -100.37 eV for the cell shown. The value obtained for the total magnetic moment is 0.000 μB per atom.